{
  "formula": "Pm2Ni2Sn",
  "functional": "PBE",
  "state": "relaxed",
  "formation_energy_ev_per_atom": -0.5305,
  "m_tot_mub_per_atom": 0.0000,
  "volume_a3_per_fu": 106.6,
  "polymorph_energy_mev_per_atom": 12,
  "rho_g_cm3": 8.19,
  "space_group": "P4/mbm",
  "lattice_angstrom": [[-0.308, 3.781, 0.152], [-3.393, -0.009, -6.681], [-6.654, -0.678, 3.380]],
  "species": ["Pm", "Pm", "Pm", "Pm", "Ni", "Ni", "Ni", "Ni", "Sn", "Sn"],
  "fractional_positions": [[0.500, 0.178, 0.678], [0.500, 0.678, 0.822], [0.500, 0.822, 0.322], [0.500, 0.322, 0.178], [0.000, 0.382, 0.882], [0.000, 0.882, 0.618], [0.000, 0.618, 0.118], [0.000, 0.118, 0.382], [0.000, 0.000, 0.000], [0.000, 0.500, 0.500]]
}